# NaCd5Pt3

A geometry-optimized NaCd5Pt3 structure (PBE-GGA, Alexandria).

Values from the calculation:
* uncorrected energy: -2.897 eV/atom
* crystal system: hexagonal

The structure in CIF format:
```
data_NaCd5Pt3
_cell_length_a 8.3038
_cell_length_b 8.3038
_cell_length_c 5.7685
_cell_angle_alpha 90.00
_cell_angle_beta 90.00
_cell_angle_gamma 120.00
_space_group_name_H-M_alt 'P 63/m c m'
_space_group_IT_number 193
_space_group_name_Hall '-P 6c 2'
loop_
_atom_site_label
_atom_site_type_symbol
_atom_site_fract_x
_atom_site_fract_y
_atom_site_fract_z
_atom_site_occupancy
Na1 Na 0.0000 0.0000 0.0000 1
Cd1 Cd 0.0000 0.3200 0.2500 1
Cd2 Cd 0.3333 0.6667 0.0000 1
Pt1 Pt 0.0000 0.3475 0.7500 1
```

# Na5Cd6Pt

A geometry-optimized Na5Cd6Pt structure (PBE-GGA, Alexandria).

Values from the calculation:
* uncorrected energy: -1.578 eV/atom
* crystal system: monoclinic

The structure in CIF format:
```
data_Na5Cd6Pt
_cell_length_a 5.706
_cell_length_b 9.867
_cell_length_c 10.402
_cell_angle_alpha 90.00
_cell_angle_beta 100.93
_cell_angle_gamma 90.00
_space_group_name_H-M_alt 'C 1 2/m 1'
_space_group_IT_number 12
loop_
_space_group_symop_operation_xyz
'x,y,z'
'-x,-y,-z'
'-x,y,-z'
'x,-y,z'
'x+1/2,y+1/2,z'
'-x+1/2,-y+1/2,-z'
'-x+1/2,y+1/2,-z'
'x+1/2,-y+1/2,z'
loop_
_atom_site_label
_atom_site_type_symbol
_atom_site_fract_x
_atom_site_fract_y
_atom_site_fract_z
_atom_site_occupancy
Na1 Na 0.000 0.000 0.000 1
Na2 Na 0.000 0.166 0.500 1
Na3 Na 0.000 0.330 0.000 1
Cd1 Cd 0.231 0.500 0.265 1
Cd2 Cd 0.233 0.345 0.734 1
Pt1 Pt 0.000 0.500 0.500 1
```

# NaCd11Pt

A geometry-optimized NaCd11Pt structure (PBE-GGA, Alexandria).

Values from the calculation:
* uncorrected energy: -1.422 eV/atom
* crystal system: monoclinic

The structure in CIF format:
```
data_NaCd11Pt
_cell_length_a 5.901
_cell_length_b 14.263
_cell_length_c 7.589
_cell_angle_alpha 90.00
_cell_angle_beta 112.87
_cell_angle_gamma 90.00
_space_group_name_H-M_alt 'C 1 2/m 1'
_space_group_IT_number 12
loop_
_space_group_symop_operation_xyz
'x,y,z'
'-x,-y,-z'
'-x,y,-z'
'x,-y,z'
'x+1/2,y+1/2,z'
'-x+1/2,-y+1/2,-z'
'-x+1/2,y+1/2,-z'
'x+1/2,-y+1/2,z'
loop_
_atom_site_label
_atom_site_type_symbol
_atom_site_fract_x
_atom_site_fract_y
_atom_site_fract_z
_atom_site_occupancy
Na1 Na 0.000 0.000 0.000 1
Cd1 Cd 0.000 0.000 0.500 1
Cd2 Cd 0.095 0.394 0.217 1
Cd3 Cd 0.191 0.170 0.356 1
Cd4 Cd 0.250 0.250 0.000 1
Pt1 Pt 0.000 0.500 0.500 1
```

# Na2CdPt3

A geometry-optimized Na2CdPt3 structure (PBE-GGA, Alexandria).

Values from the calculation:
* uncorrected energy: -3.966 eV/atom
* crystal system: monoclinic

The structure in CIF format:
```
data_Na2CdPt3
_cell_length_a 9.428
_cell_length_b 5.444
_cell_length_c 5.541
_cell_angle_alpha 90.00
_cell_angle_beta 124.87
_cell_angle_gamma 90.00
_space_group_name_H-M_alt 'C 1 2/m 1'
_space_group_IT_number 12
loop_
_space_group_symop_operation_xyz
'x,y,z'
'-x,-y,-z'
'-x,y,-z'
'x,-y,z'
'x+1/2,y+1/2,z'
'-x+1/2,-y+1/2,-z'
'-x+1/2,y+1/2,-z'
'x+1/2,-y+1/2,z'
loop_
_atom_site_label
_atom_site_type_symbol
_atom_site_fract_x
_atom_site_fract_y
_atom_site_fract_z
_atom_site_occupancy
Na1 Na 0.119 0.000 0.356 1
Cd1 Cd 0.000 0.500 0.500 1
Pt1 Pt 0.000 0.500 0.000 1
Pt2 Pt 0.250 0.250 0.000 1
```

# NaCdPt

A geometry-optimized NaCdPt structure (PBE-GGA, Alexandria).

Values from the calculation:
* polymorph energy (0 for the lowest one): 0 meV/atom
* crystal system: orthorhombic

The structure in CIF format:
```
data_NaCdPt
_cell_length_a 5.635
_cell_length_b 5.881
_cell_length_c 7.557
_cell_angle_alpha 90.00
_cell_angle_beta 90.00
_cell_angle_gamma 90.00
_space_group_name_H-M_alt 'I m m a'
_space_group_IT_number 74
_space_group_name_Hall '-I 2b 2'
loop_
_atom_site_label
_atom_site_type_symbol
_atom_site_fract_x
_atom_site_fract_y
_atom_site_fract_z
_atom_site_occupancy
Na1 Na 0.000 0.250 0.108 1
Cd1 Cd 0.000 0.000 0.500 1
Pt1 Pt 0.250 0.250 0.750 1
```

# NaCdPt

A geometry-optimized NaCdPt structure (PBE-GGA, Alexandria).

Values from the calculation:
* polymorph energy (0 for the lowest one): 230 meV/atom
* crystal system: cubic

The structure in CIF format:
```
data_NaCdPt
_cell_length_a 6.542
_cell_length_b 6.542
_cell_length_c 6.542
_cell_angle_alpha 90.00
_cell_angle_beta 90.00
_cell_angle_gamma 90.00
_space_group_name_H-M_alt 'F -4 3 m'
_space_group_IT_number 216
_space_group_name_Hall 'F -4 2 3'
loop_
_atom_site_label
_atom_site_type_symbol
_atom_site_fract_x
_atom_site_fract_y
_atom_site_fract_z
_atom_site_occupancy
Na1 Na 0.000 0.000 0.000 1
Cd1 Cd 0.000 0.000 0.500 1
Pt1 Pt 0.250 0.250 0.250 1
```

# Na6CdPt2

A geometry-optimized Na6CdPt2 structure (PBE-GGA, Alexandria).

Values from the calculation:
* uncorrected energy: -2.452 eV/atom
* crystal system: trigonal

The structure in CIF format:
```
data_Na6CdPt2
_cell_length_a 5.0345
_cell_length_b 5.0345
_cell_length_c 30.2970
_cell_angle_alpha 90.00
_cell_angle_beta 90.00
_cell_angle_gamma 120.00
_space_group_name_H-M_alt 'R -3 m'
_space_group_IT_number 166
_space_group_name_Hall '-R 3 2"'
loop_
_atom_site_label
_atom_site_type_symbol
_atom_site_fract_x
_atom_site_fract_y
_atom_site_fract_z
_atom_site_occupancy
Na1 Na 0.0000 0.0000 0.0747 1
Na2 Na 0.0000 0.0000 0.2091 1
Na3 Na 0.0000 0.0000 0.3112 1
Cd1 Cd 0.0000 0.0000 0.5000 1
Pt1 Pt 0.0000 0.0000 0.4108 1
```

# NaCd10Pt3

A geometry-optimized NaCd10Pt3 structure (PBE-GGA, Alexandria).

Values from the calculation:
* uncorrected energy: -2.214 eV/atom
* crystal system: cubic

The structure in CIF format:
```
data_NaCd10Pt3
_cell_length_a 13.865
_cell_length_b 13.865
_cell_length_c 13.865
_cell_angle_alpha 90.00
_cell_angle_beta 90.00
_cell_angle_gamma 90.00
_space_group_name_H-M_alt 'F m -3 m'
_space_group_IT_number 225
_space_group_name_Hall '-F 4 2 3'
loop_
_atom_site_label
_atom_site_type_symbol
_atom_site_fract_x
_atom_site_fract_y
_atom_site_fract_z
_atom_site_occupancy
Na1 Na 0.250 0.250 0.250 1
Cd1 Cd 0.000 0.168 0.168 1
Cd2 Cd 0.117 0.117 0.383 1
Pt1 Pt 0.000 0.000 0.269 1
```

# NaCd6Pt6

A geometry-optimized NaCd6Pt6 structure (PBE-GGA, Alexandria).

Values from the calculation:
* uncorrected energy: -3.654 eV/atom
* crystal system: orthorhombic

The structure in CIF format:
```
data_NaCd6Pt6
_cell_length_a 5.618
_cell_length_b 9.263
_cell_length_c 9.698
_cell_angle_alpha 90.00
_cell_angle_beta 90.00
_cell_angle_gamma 90.00
_space_group_name_H-M_alt 'I m m m'
_space_group_IT_number 71
_space_group_name_Hall '-I 2 2'
loop_
_atom_site_label
_atom_site_type_symbol
_atom_site_fract_x
_atom_site_fract_y
_atom_site_fract_z
_atom_site_occupancy
Na1 Na 0.000 0.000 0.000 1
Cd1 Cd 0.000 0.000 0.338 1
Cd2 Cd 0.000 0.327 0.000 1
Cd3 Cd 0.000 0.500 0.327 1
Pt1 Pt 0.000 0.255 0.500 1
Pt2 Pt 0.250 0.250 0.250 1
```

# Na8Cd6Pt

A geometry-optimized Na8Cd6Pt structure (PBE-GGA, Alexandria).

Values from the calculation:
* uncorrected energy: -1.560 eV/atom
* crystal system: trigonal

The structure in CIF format:
```
data_Na8Cd6Pt
_cell_length_a 9.0624
_cell_length_b 9.0624
_cell_length_c 16.4305
_cell_angle_alpha 90.00
_cell_angle_beta 90.00
_cell_angle_gamma 120.00
_space_group_name_H-M_alt 'R -3 m'
_space_group_IT_number 166
_space_group_name_Hall '-R 3 2"'
loop_
_atom_site_label
_atom_site_type_symbol
_atom_site_fract_x
_atom_site_fract_y
_atom_site_fract_z
_atom_site_occupancy
Na1 Na 0.0000 0.0000 0.1116 1
Na2 Na 0.0969 0.5484 0.3325 1
Cd1 Cd 0.0000 0.3243 0.5000 1
Pt1 Pt 0.0000 0.0000 0.5000 1
```

# Na3Cd3Pt2

A geometry-optimized Na3Cd3Pt2 structure (PBE-GGA, Alexandria).

Values from the calculation:
* polymorph energy (0 for the lowest one): 0 meV/atom
* crystal system: orthorhombic

The structure in CIF format:
```
data_Na3Cd3Pt2
_cell_length_a 8.302
_cell_length_b 16.204
_cell_length_c 5.721
_cell_angle_alpha 90.00
_cell_angle_beta 90.00
_cell_angle_gamma 90.00
_space_group_name_H-M_alt 'P n m a'
_space_group_IT_number 62
loop_
_space_group_symop_operation_xyz
'x,y,z'
'-x,-y,-z'
'-x+1/2,-y,z+1/2'
'x+1/2,y,-z+1/2'
'x+1/2,-y+1/2,-z+1/2'
'-x+1/2,y+1/2,z+1/2'
'-x,y+1/2,-z'
'x,-y+1/2,z'
loop_
_atom_site_label
_atom_site_type_symbol
_atom_site_fract_x
_atom_site_fract_y
_atom_site_fract_z
_atom_site_occupancy
Na1 Na 0.029 0.107 0.094 1
Na2 Na 0.152 0.250 0.661 1
Cd1 Cd 0.171 0.750 0.656 1
Cd2 Cd 0.172 0.040 0.592 1
Pt1 Pt 0.127 0.613 0.400 1
```

# NaCd3Pt

A geometry-optimized NaCd3Pt structure (PBE-GGA, Alexandria).

Values from the calculation:
* polymorph energy (0 for the lowest one): 51 meV/atom
* crystal system: cubic

The structure in CIF format:
```
data_NaCd3Pt
_cell_length_a 5.252
_cell_length_b 5.252
_cell_length_c 5.252
_cell_angle_alpha 90.00
_cell_angle_beta 90.00
_cell_angle_gamma 90.00
_space_group_name_H-M_alt 'P m -3 m'
_space_group_IT_number 221
_space_group_name_Hall '-P 4 2 3'
loop_
_atom_site_label
_atom_site_type_symbol
_atom_site_fract_x
_atom_site_fract_y
_atom_site_fract_z
_atom_site_occupancy
Na1 Na 0.000 0.000 0.000 1
Cd1 Cd 0.000 0.500 0.500 1
Pt1 Pt 0.500 0.500 0.500 1
```